! GGA+U Ni2PbO3, relaxed; values from VASP
&SYSTEM
  ibrav = 0, nat = 12, ntyp = 3
/
ATOMIC_SPECIES
Ni 58.69 Ni.upf
Pb 207.20 Pb.upf
O 16.00 O.upf
CELL_PARAMETERS angstrom
4.3044 -4.5935 0.0000
4.3044 4.5935 0.0000
-1.4605 0.0000 5.2488
ATOMIC_POSITIONS crystal
Ni 0.1469 0.1845 0.0707
Ni 0.1845 0.1469 0.5707
Ni 0.8155 0.8531 0.4293
Ni 0.8531 0.8155 0.9293
Pb 0.3590 0.6410 0.7500
Pb 0.6410 0.3590 0.2500
O 0.0083 0.9917 0.7500
O 0.3113 0.3359 0.3909
O 0.3359 0.3113 0.8909
O 0.6641 0.6887 0.1091
O 0.6887 0.6641 0.6091
O 0.9917 0.0083 0.2500
! **Space group**: C2/c (15)
! **Total magnetic moment**: 0.01 μB per formula unit
! **Raw total energy**: -0.3492 Ry per atom